First-principles (GGA-PBE) data for crystalline BeSi2Sn2 at its relaxed geometry, as listed in the Alexandria database.

Results
- theoretical density (g cm⁻³) = 5.0
- ΔE_f (raw) (eV/atom) = 0.314
- magnetization (μB per cell) = 0.00

```
BeSi2Sn2
1.0
6.035 0.000 0.000
0.000 6.035 0.000
0.000 0.000 5.511
Be Si Sn
2 4 4
direct
0.000 0.000 0.000
0.500 0.500 0.000
0.358 0.858 0.000
0.858 0.642 0.000
0.642 0.142 0.000
0.142 0.358 0.000
0.303 0.803 0.500
0.803 0.697 0.500
0.697 0.197 0.500
0.197 0.303 0.500
```